! CdOsBr, optimized geometry, DFT PBE-GGA; values from VASP
&SYSTEM
  ibrav = 0, nat = 3, ntyp = 3
/
ATOMIC_SPECIES
Os 190.23 Os.upf
Br 79.90 Br.upf
Cd 112.41 Cd.upf
CELL_PARAMETERS angstrom
6.718 0.006 0.000
5.279 4.155 0.000
-5.999 -2.081 2.196
ATOMIC_POSITIONS angstrom
Os 7.956 2.760 0.000
Br 0.376 0.130 0.000
Cd 3.665 1.271 0.000
! - Spin magnetization: 0.65 Bohr magnetons per cell
! - Energy relative to the lowest polymorph listed for this composition: 0.119 eV/atom
! - Space-group type: I4mm (107)
! - Uncorrected formation energy: 944 meV per atom